# 1
Material: NdRuO5
Method: DFT, PBE
State: relaxed

Output
* formation energy without anion corrections: -1.508 eV/atom
* D(E_F): 8.70 states/eV/cell
* M_tot: 1.3 μB per formula unit

Cell and atoms, written as CIF:
```
data_NdRuO5
_chemical_formula_sum 'Nd2 Ru2 O10'
_symmetry_space_group_name_H-M 'P 4/n m m'
_symmetry_Int_Tables_number 129
_cell_length_a 7.771
_cell_length_b 7.771
_cell_length_c 4.403
_cell_angle_alpha 90.00
_cell_angle_beta 90.00
_cell_angle_gamma 90.00
loop_
_symmetry_equiv_pos_as_xyz
'x,y,z'
'-x,-y,-z'
'-y+1/2,x,z'
'y+1/2,-x,-z'
'-x+1/2,-y+1/2,z'
'x+1/2,y+1/2,-z'
'y,-x+1/2,z'
'-y,x+1/2,-z'
'x+1/2,-y,-z'
'-x+1/2,y,z'
'-y,-x,-z'
'y,x,z'
'-x,y+1/2,-z'
'x,-y+1/2,z'
'y+1/2,x+1/2,-z'
'-y+1/2,-x+1/2,z'
loop_
_atom_site_label
_atom_site_type_symbol
_atom_site_fract_x
_atom_site_fract_y
_atom_site_fract_z
Nd1 Nd 0.250 0.250 0.250
Ru1 Ru 0.250 0.750 0.000
O1 O 0.066 0.750 0.767
O2 O 0.250 0.250 0.747
```

***

# 2
Material: KLiTa
Method: DFT, PBE
State: relaxed

Output
* D(E_F): 26.03 states/eV/cell
* formation enthalpy at 0 K: 2265 meV per atom
* M_tot: 4.5 μB per formula unit
* distance to the lowest polymorph of the same formula: 1409 meV per atom

Cell and atoms, written as CIF:
```
data_KLiTa
_chemical_formula_sum 'K4 Li4 Ta4'
_symmetry_space_group_name_H-M 'F -4 3 m'
_symmetry_Int_Tables_number 216
_symmetry_space_group_name_Hall 'F -4 2 3'
_cell_length_a 7.795
_cell_length_b 7.795
_cell_length_c 7.795
_cell_angle_alpha 90.00
_cell_angle_beta 90.00
_cell_angle_gamma 90.00
loop_
_atom_site_label
_atom_site_type_symbol
_atom_site_fract_x
_atom_site_fract_y
_atom_site_fract_z
K1 K 0.000 0.000 0.000
Li1 Li 0.250 0.250 0.750
Ta1 Ta 0.250 0.250 0.250
```

***

These records have calculated volume values of 266 474 Å³/cell, in the order they appear.